Entry from Alexandria: a geometry-optimized Zr3BiAs structure (PBE).

POSCAR file:
```
Zr3BiAs
1.0
5.416 0.000 0.000
0.000 5.416 0.000
0.000 0.000 5.416
Zr As Bi
3 1 1
Cartesian
2.708 0.000 0.000 Zr
0.000 2.708 0.000 Zr
0.000 0.000 2.708 Zr
2.708 2.708 2.708 As
0.000 0.000 0.000 Bi
```

Output
The density of states at the Fermi level comes out at 7.73 states/eV/cell. Its space group is No. 221. The calculation puts the formation energy at 5.63 eV per formula unit. The value obtained for the excess energy over the best structure of this formula in the dataset is 150.41 kJ/mol of atoms.

Entry from Alexandria: a geometry-optimized Th6Ge2Sb3Te structure (PBE).

POSCAR file:
```
Th6Ge2Sb3Te
1.0
4.419 0.000 0.000
0.000 8.900 0.299
-2.209 -2.584 9.338
Ge Th Sb Te
2 6 3 1
Cartesian
2.209 4.212 6.407 Ge
0.000 2.105 3.230 Ge
0.000 2.123 6.242 Th
0.000 2.246 0.257 Th
0.000 6.265 6.405 Th
2.209 0.052 3.232 Th
2.209 4.070 9.380 Th
2.209 4.193 3.395 Th
2.209 4.450 0.150 Sb
0.000 6.584 3.258 Sb
2.209 -0.268 6.380 Sb
2.209 0.000 0.000 Te
```

Output
The density of states at the Fermi level comes out at 7.02 states/eV/cell. As for the uncorrected formation energy: -0.92 eV/atom. Its space group is No. 12.

Entry from Alexandria: a geometry-optimized TaBeSi structure (PBE).

POSCAR file:
```
TaBeSi
1.0
2.835 0.000 0.000
-1.417 2.455 0.000
0.000 0.000 6.221
Ta Si Be
1 1 1
Cartesian
0.000 1.637 4.175 Ta
1.417 0.818 1.947 Si
0.000 0.000 0.099 Be
```

Output
The density of states at the Fermi level comes out at 1.52 states/eV/cell. As for the uncorrected formation energy: 0.24 eV/atom. Its space group is No. 156.

Entry from Alexandria: a geometry-optimized La3Sm7Th2 structure (PBE).

POSCAR file:
```
La3Sm7Th2
1.0
-2.620 -0.418 -2.507
-1.094 -5.487 2.057
-12.059 11.757 10.644
Sm Th La
7 2 3
Cartesian
-11.283 9.387 7.570 Sm
-7.646 1.270 5.121 Sm
-2.235 -0.785 2.466 Sm
0.000 0.000 0.000 Sm
-8.127 4.583 5.072 Sm
-4.490 -3.534 2.624 Sm
-10.918 7.056 10.234 Sm
-10.309 5.783 7.153 Th
-5.464 0.071 3.041 Th
-4.547 3.526 4.164 La
-1.857 -2.952 -0.225 La
-8.606 2.745 8.536 La
```

Output
The density of states at the Fermi level comes out at 16.52 states/eV/cell. Its space group is No. 10. The calculation puts the formation energy at 1.45 eV per formula unit.

Entry from Alexandria: a geometry-optimized HgSbAs2Rh structure (PBE).

POSCAR file:
```
HgSbAs2Rh
1.0
5.315 0.000 0.000
0.000 4.950 0.000
0.000 0.000 5.315
As Hg Sb Rh
2 1 1 1
Cartesian
2.658 0.000 0.000 As
0.000 0.000 2.658 As
2.658 2.475 2.658 Hg
0.000 0.000 0.000 Sb
0.000 2.475 0.000 Rh
```

Output
The density of states at the Fermi level comes out at 8.18 states/eV/cell. As for the uncorrected formation energy: 0.94 eV/atom. Its space group is No. 123.

Entry from Alexandria: a geometry-optimized ZnIn2IrCl structure (PBE).

POSCAR file:
```
ZnIn2IrCl
1.0
5.210 0.000 0.000
0.000 5.210 0.000
0.000 0.000 4.843
Zn Ir Cl In
1 1 1 2
Cartesian
0.000 0.000 2.422 Zn
0.000 0.000 0.000 Ir
2.605 2.605 2.422 Cl
2.605 0.000 0.000 In
0.000 2.605 0.000 In
```

Output
The density of states at the Fermi level comes out at 1.71 states/eV/cell. As for the uncorrected formation energy: -0.28 eV/atom. Its space group is No. 123.

Entry from Alexandria: a geometry-optimized Pu2VIr structure (PBE).

POSCAR file:
```
Pu2VIr
1.0
-1.316 1.093 4.499
1.500 -2.723 3.675
3.248 1.725 3.105
Pu Ir V
2 1 1
Cartesian
0.858 0.024 2.820 Pu
2.574 0.072 8.459 Pu
0.000 0.000 0.000 Ir
1.716 0.048 5.640 V
```

Output
The density of states at the Fermi level comes out at 10.83 states/eV/cell. Its space group is No. 225. The calculation puts the formation energy at -0.11 eV per formula unit. The value obtained for the excess energy over the best structure of this formula in the dataset is 0.00 kJ/mol of atoms.

Entry from Alexandria: a geometry-optimized KNdGeTe3 structure (PBE).

POSCAR file:
```
KNdGeTe3
1.0
4.368 0.000 0.000
0.000 9.229 -0.590
0.000 -3.032 11.504
Te Nd K Ge
6 2 2 2
Cartesian
3.276 1.304 6.283 Te
1.092 4.893 4.630 Te
1.092 -1.483 8.847 Te
3.276 3.198 1.040 Te
3.276 7.680 2.067 Te
1.092 2.999 9.873 Te
1.092 5.424 1.469 Nd
3.276 0.773 9.444 Nd
3.276 4.863 7.768 K
1.092 1.334 3.145 K
3.276 6.781 4.619 Ge
1.092 -0.585 6.294 Ge
```

Output
As for the uncorrected formation energy: -0.94 eV/atom. Its space group is No. 11.

Entry from Alexandria: a geometry-optimized LiTmZnIn structure (PBE).

POSCAR file:
```
LiTmZnIn
1.0
-2.928 -3.732 -0.627
-0.069 -2.309 -4.190
1.796 -4.423 -0.324
In Li Tm Zn
1 1 1 1
Cartesian
-0.901 -7.848 -3.856 In
-0.601 -5.232 -2.571 Li
-0.300 -2.616 -1.285 Tm
0.000 0.000 0.000 Zn
```

Output
The density of states at the Fermi level comes out at 2.03 states/eV/cell. Its space group is No. 216. The calculation puts the formation energy at -1.15 eV per formula unit. The value obtained for the excess energy over the best structure of this formula in the dataset is 1.27 kJ/mol of atoms.

Entry from Alexandria: a geometry-optimized Co2PtW structure (PBE).

POSCAR file:
```
Co2PtW
1.0
-2.928 0.353 -2.420
1.299 -2.974 -2.006
-1.939 -2.212 2.023
Co W Pt
2 1 1
Cartesian
0.000 0.000 0.000 Co
-0.814 -1.310 -2.213 Co
-0.320 -2.593 0.009 W
-2.434 -0.930 -0.198 Pt
```

Output
The density of states at the Fermi level comes out at 2.54 states/eV/cell. Its space group is No. 123. The calculation puts the formation energy at -0.34 eV per formula unit. The value obtained for the excess energy over the best structure of this formula in the dataset is 3.52 kJ/mol of atoms.

Entry from Alexandria: a geometry-optimized MgTa2Os structure (PBE).

POSCAR file:
```
MgTa2Os
1.0
5.212 0.016 0.000
2.234 4.708 0.000
-3.723 -2.362 2.779
Ta Os Mg
2 1 1
Cartesian
1.117 2.354 1.389 Ta
0.000 0.000 0.000 Ta
2.606 0.008 1.389 Os
3.723 2.362 0.000 Mg
```

Output
The density of states at the Fermi level comes out at 3.54 states/eV/cell. Its space group is No. 119. The calculation puts the formation energy at 0.68 eV per formula unit.

Entry from Alexandria: a geometry-optimized NaCrCu structure (PBE).

POSCAR file:
```
NaCrCu
1.0
-2.485 -5.106 5.993
0.192 -2.160 -1.761
8.230 -1.209 2.383
Cr Cu Na
4 4 4
Cartesian
-1.002 -3.551 3.139 Cr
2.357 -6.986 5.505 Cr
6.939 -4.924 3.476 Cr
3.580 -1.488 1.109 Cr
1.210 -4.771 4.878 Cu
0.555 -1.939 1.332 Cu
5.382 -6.535 5.283 Cu
4.727 -3.704 1.737 Cu
4.004 -4.240 4.531 Na
6.846 -1.921 1.998 Na
-0.909 -6.553 4.617 Na
1.933 -4.235 2.083 Na
```

Output
The density of states at the Fermi level comes out at 6.96 states/eV/cell. Its space group is No. 62. The calculation puts the formation energy at 1.73 eV per formula unit. The value obtained for the excess energy over the best structure of this formula in the dataset is 0.00 kJ/mol of atoms.

Entry from Alexandria: a geometry-optimized PuPaTa2 structure (PBE).

POSCAR file:
```
PuPaTa2
1.0
2.921 0.000 0.000
0.000 2.921 0.000
0.000 0.000 10.004
Ta Pa Pu
2 1 1
Cartesian
0.000 0.000 2.496 Ta
0.000 0.000 7.507 Ta
1.461 1.461 5.002 Pa
1.461 1.461 0.000 Pu
```

Output
The density of states at the Fermi level comes out at 9.10 states/eV/cell. Its space group is No. 123. The calculation puts the formation energy at 1.30 eV per formula unit. The value obtained for the excess energy over the best structure of this formula in the dataset is 0.00 kJ/mol of atoms.

Entry from Alexandria: a geometry-optimized NaIn2Te3 structure (PBE).

POSCAR file:
```
NaIn2Te3
1.0
4.408 0.000 0.000
0.000 8.403 -0.719
-2.204 -3.040 12.267
Te In Na
6 4 2
Cartesian
0.000 2.630 9.101 Te
0.000 -0.263 5.571 Te
2.204 2.732 2.446 Te
2.204 5.626 5.976 Te
0.000 6.940 0.826 Te
2.204 -1.578 10.721 Te
0.000 1.333 1.274 In
2.204 4.030 10.273 In
0.000 3.676 6.282 In
2.204 1.686 5.265 In
2.204 6.178 2.888 Na
0.000 -0.815 8.659 Na
```

Output
The density of states at the Fermi level comes out at 2.01 states/eV/cell. As for the uncorrected formation energy: -0.43 eV/atom. Its space group is No. 12. The value obtained for the excess energy over the best structure of this formula in the dataset is 0.39 kJ/mol of atoms.

Entry from Alexandria: a geometry-optimized Si3Ni structure (PBE).

POSCAR file:
```
Si3Ni
1.0
4.731 0.000 0.000
0.000 4.731 0.000
0.000 0.000 4.731
Si Ni
6 2
Cartesian
0.000 1.183 2.366 Si
0.000 3.548 2.366 Si
3.548 2.366 0.000 Si
1.183 2.366 0.000 Si
2.366 0.000 3.548 Si
2.366 0.000 1.183 Si
0.000 0.000 0.000 Ni
2.366 2.366 2.366 Ni
```

Output
The density of states at the Fermi level comes out at 3.08 states/eV/cell. As for the uncorrected formation energy: 0.27 eV/atom. Its space group is No. 223.

Entry from Alexandria: a geometry-optimized SnMoS3 structure (PBE).

POSCAR file:
```
SnMoS3
1.0
4.735 0.000 0.000
0.000 4.735 0.000
0.000 0.000 4.735
S Sn Mo
3 1 1
Cartesian
2.367 0.000 0.000 S
0.000 2.367 0.000 S
0.000 0.000 2.367 S
2.367 2.367 2.367 Sn
0.000 0.000 0.000 Mo
```

Output
The density of states at the Fermi level comes out at 2.93 states/eV/cell. As for the uncorrected formation energy: -0.11 eV/atom. Its space group is No. 221. The value obtained for the excess energy over the best structure of this formula in the dataset is 0.00 kJ/mol of atoms.

Entry from Alexandria: a geometry-optimized TbSm structure (PBE).

POSCAR file:
```
TbSm
1.0
-0.252 -1.597 3.269
0.939 -1.968 -2.923
5.555 1.169 0.999
Sm Tb
1 1
Cartesian
2.778 0.584 0.499 Sm
0.145 -1.720 1.205 Tb
```

Output
The density of states at the Fermi level comes out at 3.61 states/eV/cell. Its space group is No. 187. The calculation puts the formation energy at 0.04 eV per formula unit. The value obtained for the excess energy over the best structure of this formula in the dataset is 0.00 kJ/mol of atoms.

Entry from Alexandria: a geometry-optimized CaPrS2 structure (PBE).

POSCAR file:
```
CaPrS2
1.0
4.036 0.000 0.000
2.018 3.495 0.000
2.018 1.165 6.758
S Ca Pr
2 1 1
Cartesian
2.018 1.165 1.628 S
6.054 3.495 5.130 S
0.000 0.000 0.000 Ca
4.036 2.330 3.379 Pr
```

Output
The density of states at the Fermi level comes out at 1.31 states/eV/cell. As for the uncorrected formation energy: -2.05 eV/atom. Its space group is No. 166. The value obtained for the excess energy over the best structure of this formula in the dataset is 0.00 kJ/mol of atoms.

Entry from Alexandria: a geometry-optimized AcPmDyAu structure (PBE).

POSCAR file:
```
AcPmDyAu
1.0
-4.047 0.664 3.649
-4.926 -2.238 -0.927
-1.694 -4.256 3.025
Ac Dy Au Pm
1 1 1 1
Cartesian
-2.667 -1.457 1.437 Ac
-5.334 -2.915 2.873 Dy
-8.001 -4.372 4.310 Au
0.000 0.000 0.000 Pm
```

Output
The density of states at the Fermi level comes out at 6.04 states/eV/cell. Its space group is No. 216. The calculation puts the formation energy at -0.08 eV per formula unit.

Entry from Alexandria: a geometry-optimized Ag3P structure (PBE).

POSCAR file:
```
Ag3P
1.0
-0.414 -2.418 -1.499
2.117 -1.270 1.472
-5.548 -2.605 5.733
Ag P
3 1
Cartesian
-3.309 -3.798 4.287 Ag
-2.735 -1.284 2.826 Ag
-0.039 -0.018 0.040 Ag
-0.535 -2.495 1.420 P
```

Output
The density of states at the Fermi level comes out at 1.28 states/eV/cell. Its space group is No. 123. The calculation puts the formation energy at 0.90 eV per formula unit.

Entry from Alexandria: a geometry-optimized K3Pr3AlTe8 structure (PBE).

POSCAR file:
```
K3Pr3AlTe8
1.0
-7.610 -2.772 3.862
7.487 -4.885 0.823
-0.421 8.493 5.265
K Pr Te Al
3 3 8 1
Cartesian
3.744 -2.443 0.412 K
-0.062 -3.829 2.343 K
0.000 0.000 0.000 K
-4.016 2.861 4.563 Pr
-0.272 0.418 4.975 Pr
3.533 1.804 3.044 Pr
1.301 3.210 4.867 Te
1.800 -0.875 2.919 Te
-2.345 1.711 7.031 Te
-5.947 0.302 4.631 Te
-1.846 -2.374 5.083 Te
5.403 0.533 5.319 Te
-1.779 1.820 2.516 Te
1.234 -0.984 7.434 Te
-0.211 4.247 2.632 Al
```

Output
The density of states at the Fermi level comes out at 12.53 states/eV/cell. As for the uncorrected formation energy: -1.10 eV/atom. Its space group is No. 166.